# K2MgCd5Ag2

Crystalline K2MgCd5Ag2 at its relaxed geometry (PBE, Alexandria via LeMat-Bulk).

Properties
DOS at the Fermi energy ... 5.0 states/eV/cell
Total magnetization ... 0.0 Bohr magnetons per cell
Energy of formation from the pure elements ... -0.039 eV/atom

```
data_K2MgCd5Ag2
_chemical_formula_sum 'K4 Mg2 Cd10 Ag4'
_symmetry_space_group_name_H-M 'P 1'
_symmetry_Int_Tables_number 1
_cell_length_a 12.693
_cell_length_b 12.693
_cell_length_c 3.211
_cell_angle_alpha 90.00
_cell_angle_beta 90.00
_cell_angle_gamma 90.00
loop_
_symmetry_equiv_pos_as_xyz
'x,y,z'
loop_
_atom_site_label
_atom_site_type_symbol
_atom_site_fract_x
_atom_site_fract_y
_atom_site_fract_z
K1 K 0.178 0.322 0.000
K2 K 0.322 0.822 0.000
K3 K 0.678 0.178 0.000
K4 K 0.822 0.678 0.000
Mg1 Mg 0.000 0.000 0.000
Mg2 Mg 0.500 0.500 0.000
Cd1 Cd 0.000 0.500 0.500
Cd2 Cd 0.058 0.808 0.500
Cd3 Cd 0.192 0.058 0.500
Cd4 Cd 0.308 0.558 0.500
Cd5 Cd 0.442 0.308 0.500
Cd6 Cd 0.500 0.000 0.500
Cd7 Cd 0.558 0.692 0.500
Cd8 Cd 0.692 0.442 0.500
Cd9 Cd 0.808 0.942 0.500
Cd10 Cd 0.942 0.192 0.500
Ag1 Ag 0.131 0.631 0.000
Ag2 Ag 0.369 0.131 0.000
Ag3 Ag 0.631 0.869 0.000
Ag4 Ag 0.869 0.369 0.000
```